Run w
{
  "formula": "KMg6CoO8",
  "functional": "PBE with a Hubbard U",
  "state": "optimized geometry",
  "lattice_angstrom": [[4.492, 0.000, 0.000], [0.000, 4.492, 0.000], [0.000, 0.000, 8.509]],
  "species": ["K", "Mg", "Mg", "Mg", "Mg", "Mg", "Mg", "Co", "O", "O", "O", "O", "O", "O", "O", "O"],
  "frac_coords": [[0.000, 0.000, 0.000], [0.000, 0.500, 0.250], [0.000, 0.500, 0.750], [0.500, 0.000, 0.250], [0.500, 0.000, 0.750], [0.500, 0.500, 0.000], [0.500, 0.500, 0.500], [0.000, 0.000, 0.500], [0.000, 0.000, 0.283], [0.000, 0.000, 0.717], [0.000, 0.500, 0.000], [0.000, 0.500, 0.500], [0.500, 0.000, 0.000], [0.500, 0.000, 0.500], [0.500, 0.500, 0.252], [0.500, 0.500, 0.748]],
  "spacegroup": "P4/mmm (123)"
}


Run x
{
  "formula": "KMg6CoO8",
  "functional": "PBE with a Hubbard U",
  "state": "optimized geometry",
  "lattice_angstrom": [[4.370, 0.000, 0.000], [0.000, 4.370, 0.000], [0.000, 0.000, 8.847]],
  "species": ["K", "Mg", "Mg", "Mg", "Mg", "Mg", "Mg", "Co", "O", "O", "O", "O", "O", "O", "O", "O"],
  "frac_coords": [[0.000, 0.000, 0.000], [0.000, 0.000, 0.500], [0.000, 0.500, 0.259], [0.000, 0.500, 0.741], [0.500, 0.000, 0.259], [0.500, 0.000, 0.741], [0.500, 0.500, 0.500], [0.500, 0.500, 0.000], [0.000, 0.000, 0.275], [0.000, 0.000, 0.725], [0.000, 0.500, 0.000], [0.000, 0.500, 0.500], [0.500, 0.000, 0.000], [0.500, 0.000, 0.500], [0.500, 0.500, 0.247], [0.500, 0.500, 0.753]],
  "spacegroup": "P4/mmm (123)"
}


Bottom line: run w, by a margin of 41 meV per atom.